(1)
{"formula": "BeHgP2", "functional": "PBE-GGA", "state": "relaxed", "lattice": [[3.042, 0.361, 0.000], [-0.362, 3.042, 0.000], [0.000, 0.000, 8.349]], "species": ["P", "P", "Hg", "Be"], "frac_coords": [[0.000, 0.000, 0.121], [0.000, 0.000, 0.379], [0.500, 0.500, 0.750], [0.500, 0.500, 0.250]], "e_above_lowest_polymorph_mev_per_atom": 96}

=====

(2)
{"formula": "BeHgP", "functional": "PBE-GGA", "state": "relaxed", "lattice": [[6.186, 0.012, 0.008], [4.590, 4.147, -0.008], [-5.539, -1.688, 2.177]], "species": ["P", "Hg", "Be"], "frac_coords": [[0.559, 0.559, 0.000], [0.326, 0.326, 0.000], [0.115, 0.115, 0.000]], "e_above_lowest_polymorph_mev_per_atom": 123}

=====

(3)
{"formula": "BeHg2P2", "functional": "PBE-GGA", "state": "relaxed", "lattice": [[-2.700, 2.700, 4.182], [2.700, -2.700, 4.182], [2.700, 2.700, -4.182]], "species": ["Be", "Hg", "Hg", "P", "P"], "frac_coords": [[0.000, 0.000, 0.000], [0.250, 0.750, 0.500], [0.750, 0.250, 0.500], [0.758, 0.758, 0.000], [0.242, 0.242, 0.000]], "final_energy_ev_per_cell": -13.58}

=====

no.,ρ (g cm⁻³)
1,5.8
2,7.2
3,6.4